Entry i
The following is a DFT calculation (GGA-PBE) of an optimized crystal structure of Ti5Ga4.

Cell lengths 7.8708, 7.8708, 5.4114 Å; angles 90.00, 90.00, 120.00 degrees
Positions (direct):
Ti (0.3333, 0.6667, 0.0000)
Ti (0.6667, 0.3333, 0.5000)
Ti (0.6667, 0.3333, 0.0000)
Ti (0.3333, 0.6667, 0.5000)
Ti (0.2871, 0.0000, 0.2500)
Ti (0.2871, 0.2871, 0.7500)
Ti (0.0000, 0.7129, 0.7500)
Ti (0.0000, 0.2871, 0.2500)
Ti (0.7129, 0.7129, 0.2500)
Ti (0.7129, 0.0000, 0.7500)
Ga (0.0000, 0.0000, 0.0000)
Ga (0.0000, 0.0000, 0.5000)
Ga (0.6231, 0.0000, 0.2500)
Ga (0.6231, 0.6231, 0.7500)
Ga (0.0000, 0.3769, 0.7500)
Ga (0.0000, 0.6231, 0.2500)
Ga (0.3769, 0.3769, 0.2500)
Ga (0.3769, 0.0000, 0.7500)

Output
* space group: P6_3/mcm

Entry ii
The following is a DFT calculation (GGA-PBE) of an optimized crystal structure of Ti5Ga4.

Cell lengths 4.0180, 6.3835, 6.3835 Å; angles 84.32, 71.66, 71.66 degrees
Positions (direct):
Ti (0.6708, 0.6583, 0.0000)
Ti (0.6708, 0.0000, 0.6583)
Ti (0.3292, 0.0000, 0.3417)
Ti (0.3292, 0.3417, 0.0000)
Ti (0.0000, 0.0000, 0.0000)
Ga (0.6792, 0.3208, 0.3208)
Ga (0.0000, 0.6792, 0.3208)
Ga (0.0000, 0.3208, 0.6792)
Ga (0.3208, 0.6792, 0.6792)

Output
* space group: I4/mmm

Sorted by energy, starting with the most stable: entry i, entry ii.

Entry i
The following is a DFT calculation (GGA-PBE) of an optimized crystal structure of Ti4Ga.

Cell lengths 4.7148, 4.7148, 4.7148 Å; angles 90.00, 90.00, 90.00 degrees
Last column: magnetic moment on the atom in μB.
Positions (direct):
Ga (0.5000, 0.5000, 0.5000)  0.05
Ti (0.0000, 0.0000, 0.0000)  1.17
Ti (0.5000, 0.0000, 0.5000)  0.36
Ti (0.0000, 0.5000, 0.5000)  0.36
Ti (0.5000, 0.5000, 0.0000)  0.36

Output
* space group: Pm-3m

Entry ii
The following is a DFT calculation (GGA-PBE) of an optimized crystal structure of Ti4Ga.

Cell lengths 4.4233, 5.5520, 7.5719 Å; angles 111.51, 106.98, 90.00 degrees
Positions (direct):
Ti (0.1005, 0.3505, 0.2010)
Ti (0.8995, 0.6495, 0.7990)
Ti (0.5000, 0.0000, 0.0000)
Ti (0.5000, 0.5000, 0.0000)
Ti (0.6988, 0.2002, 0.3975)
Ti (0.3012, 0.7998, 0.6025)
Ti (0.3012, 0.3027, 0.6025)
Ti (0.6988, 0.6973, 0.3975)
Ga (0.8900, 0.1400, 0.7800)
Ga (0.1100, 0.8600, 0.2200)

Output
* space group: Imma

Entry iii
The following is a DFT calculation (GGA-PBE) of an optimized crystal structure of Ti4Ga.

Cell lengths 6.2949, 6.2949, 6.2949 Å; angles 103.79, 103.79, 121.56 degrees
Positions (direct):
Ti (0.6993, 0.3878, 0.3115)
Ti (0.0763, 0.3878, 0.6885)
Ti (0.1378, 0.3263, 0.1885)
Ti (0.1378, 0.9493, 0.8115)
Ti (0.6737, 0.8622, 0.8115)
Ti (0.0507, 0.8622, 0.1885)
Ti (0.6122, 0.9236, 0.3115)
Ti (0.6122, 0.3007, 0.6885)
Ga (0.5000, 0.5000, 0.0000)
Ga (0.2500, 0.7500, 0.5000)

Output
* space group: I4_1/amd

Sorted by energy, starting with the most stable: entry ii, entry iii, entry i.

Entry i
The following is a DFT calculation (GGA-PBE) of an optimized crystal structure of TiTl3Ga.

Cell lengths 5.3149, 5.3149, 5.3149 Å; angles 90.00, 90.00, 90.00 degrees
Positions (direct):
Tl (0.0000, 0.5000, 0.0000)
Tl (0.0000, 0.0000, 0.5000)
Tl (0.5000, 0.0000, 0.0000)
Ga (0.0000, 0.0000, 0.0000)
Ti (0.5000, 0.5000, 0.5000)

Output
* space group: Pm-3m

Entry ii
The following is a DFT calculation (GGA-PBE) of an optimized crystal structure of TiTl3Ga.

Cell lengths 5.4461, 5.4461, 5.4461 Å; angles 90.00, 90.00, 90.00 degrees
Last column: magnetic moment on the atom in μB.
Positions (direct):
Tl (0.0000, 0.5000, 0.0000)  0.07
Tl (0.0000, 0.0000, 0.5000)  0.04
Tl (0.5000, 0.0000, 0.0000)  0.04
Ga (0.5000, 0.5000, 0.5000)  -0.03
Ti (0.0000, 0.0000, 0.0000)  0.91

Output
* space group: Pm-3m

Sorted by energy, starting with the most stable: entry ii, entry i.

Entry i
The following is a DFT calculation (GGA-PBE) of an optimized crystal structure of TiTl2Ga.

Cell lengths 7.8616, 7.8616, 6.3129 Å; angles 51.49, 51.49, 90.00 degrees
Positions (direct):
Tl (0.6323, 0.1250, 0.2500)
Tl (0.1177, 0.6250, 0.2500)
Tl (0.3750, 0.3677, 0.7500)
Tl (0.8750, 0.8823, 0.7500)
Ga (0.0000, 0.0000, 0.0000)
Ga (0.7500, 0.2500, 0.5000)
Ti (0.5000, 0.5000, 0.0000)
Ti (0.2500, 0.7500, 0.5000)

Output
* space group: I-42d

Entry ii
The following is a DFT calculation (GGA-PBE) of an optimized crystal structure of TiTl2Ga.

Cell lengths 5.0834, 5.0834, 5.0834 Å; angles 60.00, 60.00, 60.00 degrees
Last column: magnetic moment on the atom in μB.
Positions (direct):
Tl (0.2500, 0.2500, 0.2500)  0.02
Tl (0.7500, 0.7500, 0.7500)  0.02
Ga (0.5000, 0.5000, 0.5000)  0.01
Ti (0.0000, 0.0000, 0.0000)  1.53

Output
* space group: Fm-3m

Sorted by energy, starting with the most stable: entry i, entry ii.

Entry i
The following is a DFT calculation (GGA-PBE) of an optimized crystal structure of TmTiGa4.

Cell lengths 4.3398, 5.4328, 5.4328 Å; angles 88.06, 66.46, 66.46 degrees
Positions (direct):
Tm (0.0000, 0.0000, 0.0000)
Ti (0.5000, 0.5000, 0.5000)
Ga (0.2383, 0.4266, 0.0969)
Ga (0.2383, 0.0969, 0.4266)
Ga (0.7617, 0.5734, 0.9031)
Ga (0.7617, 0.9031, 0.5734)

Output
* space group: Immm

Entry ii
The following is a DFT calculation (GGA-PBE) of an optimized crystal structure of TmTiGa4.

Cell lengths 5.2951, 5.2951, 5.2951 Å; angles 60.00, 60.00, 60.00 degrees
Last column: magnetic moment on the atom in μB.
Positions (direct):
Tm (0.2500, 0.2500, 0.2500)  0.01
Ga (0.6254, 0.6254, 0.1238)  -0.01
Ga (0.6254, 0.1238, 0.6254)  -0.01
Ga (0.6254, 0.6254, 0.6254)  -0.01
Ga (0.1238, 0.6254, 0.6254)  -0.01
Ti (0.0000, 0.0000, 0.0000)  0.14

Output
* space group: F-43m

Sorted by energy, starting with the most stable: entry i, entry ii.

Entry i
The following is a DFT calculation (GGA-PBE) of an optimized crystal structure of UTi2Ga.

Cell lengths 3.6182, 4.4006, 4.4006 Å; angles 90.00, 90.00, 90.00 degrees
Last column: magnetic moment on the atom in μB.
Positions (direct):
U (0.5000, 0.5000, 0.5000)  1.23
Ga (0.5000, 0.0000, 0.0000)  -0.02
Ti (0.0000, 0.0000, 0.5000)  0.17
Ti (0.0000, 0.5000, 0.0000)  0.17

Output
* space group: P4/mmm

Entry ii
The following is a DFT calculation (GGA-PBE) of an optimized crystal structure of UTi2Ga.

Cell lengths 4.6352, 4.6352, 4.6352 Å; angles 60.00, 60.00, 60.00 degrees
Last column: magnetic moment on the atom in μB.
Positions (direct):
U (0.0000, 0.0000, 0.0000)  1.50
Ga (0.5000, 0.5000, 0.5000)  -0.03
Ti (0.2500, 0.2500, 0.2500)  0.32
Ti (0.7500, 0.7500, 0.7500)  0.32

Output
* space group: Fm-3m

Sorted by energy, starting with the most stable: entry i, entry ii.

Entry i
The following is a DFT calculation (GGA-PBE) of an optimized crystal structure of UTiGa.

Cell lengths 4.5546, 5.3184, 5.5107 Å; angles 73.23, 90.00, 115.35 degrees
Last column: magnetic moment on the atom in μB.
Positions (direct):
Ti (0.2190, 0.4379, 0.8717)  -0.05
Ti (0.7810, 0.5621, 0.1283)  -0.05
U (0.4596, 0.9192, 0.2408)  1.47
U (0.5404, 0.0808, 0.7592)  1.47
Ga (0.1396, 0.2791, 0.3911)  -0.01
Ga (0.8604, 0.7209, 0.6089)  -0.01

Output
* space group: C2/m

Entry ii
The following is a DFT calculation (GGA-PBE) of an optimized crystal structure of UTiGa.

Cell lengths 2.8563, 4.7799, 4.7799 Å; angles 120.00, 90.00, 90.00 degrees
Last column: magnetic moment on the atom in μB.
Positions (direct):
U (0.3331, 0.6667, 0.3333)  1.52
Ga (0.8343, 0.3333, 0.6667)  -0.01
Ti (0.8325, 0.0000, 0.0000)  0.01

Output
* space group: P-6m2

Sorted by energy, starting with the most stable: entry i, entry ii.

Entry i
The following is a DFT calculation (GGA-PBE) of an optimized crystal structure of TiV3Ga.

Cell lengths 4.3921, 4.3921, 4.3921 Å; angles 90.00, 90.00, 90.00 degrees
Positions (direct):
V (0.0000, 0.5000, 0.0000)
V (0.0000, 0.0000, 0.5000)
V (0.5000, 0.0000, 0.0000)
Ga (0.5000, 0.5000, 0.5000)
Ti (0.0000, 0.0000, 0.0000)

Output
* space group: Pm-3m

Entry ii
The following is a DFT calculation (GGA-PBE) of an optimized crystal structure of TiV3Ga.

Cell lengths 4.7266, 4.9193, 7.1445 Å; angles 90.00, 109.32, 90.00 degrees
Positions (direct):
Ti (0.1797, 0.2500, 0.3594)
Ti (0.8203, 0.7500, 0.6406)
V (0.0966, 0.2500, 0.7091)
V (0.6125, 0.2500, 0.7091)
V (0.3875, 0.7500, 0.2909)
V (0.9034, 0.7500, 0.2909)
V (0.0000, 0.0000, 0.0000)
V (0.0000, 0.5000, 0.0000)
Ga (0.5607, 0.2500, 0.1213)
Ga (0.4393, 0.7500, 0.8787)

Output
* space group: Cmcm

Entry iii
The following is a DFT calculation (GGA-PBE) of an optimized crystal structure of TiV3Ga.

Cell lengths 4.4843, 4.4843, 4.4843 Å; angles 90.00, 90.00, 90.00 degrees
Positions (direct):
V (0.0000, 0.5000, 0.0000)
V (0.0000, 0.0000, 0.5000)
V (0.5000, 0.0000, 0.0000)
Ga (0.0000, 0.0000, 0.0000)
Ti (0.5000, 0.5000, 0.5000)

Output
* space group: Pm-3m

Sorted by energy, starting with the most stable: entry ii, entry iii, entry i.

Entry i
The following is a DFT calculation (GGA-PBE) of an optimized crystal structure of Ti3VGa.

Cell lengths 6.7740, 7.0036, 7.0036 Å; angles 85.97, 90.00, 90.00 degrees
Positions (direct):
Ti (0.6097, 0.8348, 0.9625)
Ti (0.8903, 0.0375, 0.1652)
Ti (0.3903, 0.1652, 0.0375)
Ti (0.1097, 0.9625, 0.8348)
Ti (0.6923, 0.4159, 0.0840)
Ti (0.8077, 0.9160, 0.5841)
Ti (0.3077, 0.5841, 0.9160)
Ti (0.1923, 0.0840, 0.4159)
Ti (0.6097, 0.5375, 0.6652)
Ti (0.8903, 0.3348, 0.4625)
Ti (0.3903, 0.4625, 0.3348)
Ti (0.1097, 0.6652, 0.5375)
V (0.9243, 0.6270, 0.8732)
V (0.5757, 0.1268, 0.3730)
V (0.0757, 0.3730, 0.1268)
V (0.4243, 0.8732, 0.6270)
Ga (0.2500, 0.8058, 0.1942)
Ga (0.7500, 0.1942, 0.8058)
Ga (0.2500, 0.3059, 0.6941)
Ga (0.7500, 0.6941, 0.3059)

Output
* space group: Cmce

Entry ii
The following is a DFT calculation (GGA-PBE) of an optimized crystal structure of Ti3VGa.

Cell lengths 4.7000, 4.7000, 4.7000 Å; angles 90.00, 90.00, 90.00 degrees
Last column: magnetic moment on the atom in μB.
Positions (direct):
V (0.5000, 0.5000, 0.5000)  2.46
Ga (0.0000, 0.0000, 0.0000)  0.02
Ti (0.0000, 0.5000, 0.0000)  0.04
Ti (0.0000, 0.0000, 0.5000)  0.04
Ti (0.5000, 0.0000, 0.0000)  0.04

Output
* space group: Pm-3m

Sorted by energy, starting with the most stable: entry i, entry ii.

Entry i
The following is a DFT calculation (GGA-PBE) of an optimized crystal structure of Ti2V2Ga.

Cell lengths 6.8024, 6.8024, 3.3681 Å; angles 90.00, 90.00, 90.00 degrees
Positions (direct):
V (0.1673, 0.6673, 0.5000)
V (0.6673, 0.8327, 0.5000)
V (0.8327, 0.3327, 0.5000)
V (0.3327, 0.1673, 0.5000)
Ga (0.0000, 0.0000, 0.0000)
Ga (0.5000, 0.5000, 0.0000)
Ti (0.3642, 0.8642, 0.0000)
Ti (0.8642, 0.6358, 0.0000)
Ti (0.6358, 0.1358, 0.0000)
Ti (0.1358, 0.3642, 0.0000)

Output
* space group: P4/mbm

Entry ii
The following is a DFT calculation (GGA-PBE) of an optimized crystal structure of Ti2V2Ga.

Cell lengths 4.1060, 5.5635, 7.4179 Å; angles 110.87, 106.07, 90.00 degrees
Positions (direct):
Ti (0.3938, 0.8832, 0.7875)
Ti (0.3937, 0.3832, 0.7875)
Ti (0.6062, 0.1168, 0.2125)
Ti (0.6063, 0.6168, 0.2125)
V (0.2099, 0.5271, 0.4198)
V (0.7901, 0.9729, 0.5802)
V (0.7901, 0.4729, 0.5802)
V (0.2099, 0.0271, 0.4198)
Ga (0.0000, 0.2500, 0.0000)
Ga (0.0000, 0.7500, 0.0000)

Output
* space group: C2/m

Entry iii
The following is a DFT calculation (GGA-PBE) of an optimized crystal structure of Ti2V2Ga.

Cell lengths 6.6692, 6.6692, 3.4976 Å; angles 90.00, 90.00, 90.00 degrees
Positions (direct):
V (0.3727, 0.8727, 0.0000)
V (0.8727, 0.6273, 0.0000)
V (0.6273, 0.1273, 0.0000)
V (0.1273, 0.3727, 0.0000)
Ga (0.0000, 0.0000, 0.0000)
Ga (0.5000, 0.5000, 0.0000)
Ti (0.1712, 0.6712, 0.5000)
Ti (0.6712, 0.8288, 0.5000)
Ti (0.8288, 0.3288, 0.5000)
Ti (0.3288, 0.1712, 0.5000)

Output
* space group: P4/mbm

Sorted by energy, starting with the most stable: entry ii, entry iii, entry i.

Entry i
The following is a DFT calculation (GGA-PBE) of an optimized crystal structure of Ti6VGa.

Cell lengths 4.6058, 5.7414, 5.7414 Å; angles 120.11, 90.00, 90.00 degrees
Last column: magnetic moment on the atom in μB.
Positions (direct):
Ti (0.0000, 0.0923, 0.4215)  -0.05
Ti (0.0000, 0.5785, 0.9077)  -0.05
Ti (0.0000, 0.5778, 0.4222)  -0.05
Ti (0.5000, 0.4099, 0.0792)  -0.04
Ti (0.5000, 0.9208, 0.5901)  -0.04
Ti (0.5000, 0.9209, 0.0791)  -0.03
V (0.5000, 0.4161, 0.5839)  0.62
Ga (0.0000, 0.0832, 0.9168)  0.01

Output
* space group: Amm2

Entry ii
The following is a DFT calculation (GGA-PBE) of an optimized crystal structure of Ti6VGa.

Cell lengths 5.7218, 5.7011, 5.6856 Å; angles 59.91, 74.80, 58.46 degrees
Positions (direct):
Ti (0.7434, 0.4661, 0.5550)
Ti (0.7434, 0.0211, 0.4450)
Ti (0.2566, 0.9789, 0.5550)
Ti (0.2566, 0.5339, 0.4450)
Ti (0.7491, 0.7535, 0.0000)
Ti (0.2509, 0.2465, 0.0000)
V (0.5000, 0.5000, 0.0000)
Ga (0.0000, 0.0000, 0.0000)

Output
* space group: C2/m

Sorted by energy, starting with the most stable: entry i, entry ii.